Entry 1:
Tb3Tm2Cd | PBE | optimized geometry

Unit cell a=6.345 b=5.717 c=6.606 alpha=115.64 beta=118.70 gamma=90.00
Fractional coordinates of all 6 atoms:
Tm 0.817 0.441 0.635
Tm 0.183 0.807 0.365
Tb 0.347 0.470 0.693
Tb 0.653 0.777 0.307
Tb 0.000 0.124 0.000
Cd 0.500 0.124 0.000

Summary:
size of the total moment	0.00	μB/atom
energy relative to the lowest polymorph listed for this composition	368.2	meV/atom
symmetry	Immm
crystal system	orthorhombic
VASP energy	-0.135	Ha/atom
DFT formation energy	0.282	eV/atom

---

Entry 2:
TbTmCd | PBE | optimized geometry

Unit cell a=3.492 b=3.454 c=14.126 alpha=97.02 beta=90.01 gamma=90.00
Each line ends with the local moment (μB).
Fractional coordinates of all 6 atoms:
Cd 0.060 0.144 0.287  0.00
Cd 0.059 0.990 0.979  0.00
Tm 0.559 0.414 0.829  0.05
Tm 0.060 0.828 0.655  0.11
Tb 0.560 0.720 0.439  0.16
Tb 0.560 0.567 0.134  -0.05

Summary:
size of the total moment	0.05	μB/atom
energy relative to the lowest polymorph listed for this composition	83.5	meV/atom
symmetry	Amm2
crystal system	orthorhombic
VASP energy	-0.127	Ha/atom
DFT formation energy	-0.106	eV/atom

---

Entry 3:
Tb6Tm8Cd | PBE | optimized geometry

Unit cell a=6.657 b=9.137 c=9.137 alpha=120.00 beta=90.00 gamma=90.00
Fractional coordinates of all 15 atoms:
Tm 0.106 0.315 0.335
Tm 0.894 0.685 0.665
Tm 0.894 0.335 0.020
Tm 0.183 0.667 0.333
Tm 0.817 0.333 0.667
Tm 0.894 0.980 0.315
Tm 0.106 0.020 0.685
Tm 0.106 0.665 0.980
Tb 0.399 0.601 0.682
Tb 0.601 0.399 0.318
Tb 0.399 0.081 0.399
Tb 0.399 0.318 0.919
Tb 0.601 0.919 0.601
Tb 0.601 0.682 0.081
Cd 0.500 0.000 0.000

Summary:
size of the total moment	0.00	μB/atom
symmetry	P-3
crystal system	trigonal
VASP energy	-0.149	Ha/atom
DFT formation energy	0.234	eV/atom

---

Entry 4:
Tb3Tm5Cd | PBE | optimized geometry

Unit cell a=8.147 b=8.147 c=12.915 alpha=60.53 beta=60.53 gamma=86.45
Fractional coordinates of all 18 atoms:
Tb 0.682 0.682 0.813
Tb 0.327 0.327 0.674
Tb 0.673 0.673 0.326
Tb 0.318 0.318 0.187
Tb 0.000 0.000 0.500
Tb 0.000 0.000 0.000
Tm 0.654 0.654 0.592
Tm 0.734 0.266 0.000
Tm 0.346 0.346 0.408
Tm 0.865 0.348 0.204
Tm 0.135 0.652 0.796
Tm 0.682 0.682 0.053
Tm 0.652 0.135 0.796
Tm 0.266 0.734 0.000
Tm 0.318 0.318 0.947
Tm 0.348 0.865 0.204
Cd 0.968 0.968 0.269
Cd 0.032 0.032 0.731

Summary:
size of the total moment	0.00	μB/atom
symmetry	C2/m
crystal system	monoclinic
VASP energy	-0.136	Ha/atom
DFT formation energy	0.426	eV/atom

---

Entry 5:
Tb2Tm8Cd | PBE | optimized geometry

Unit cell a=5.472 b=6.306 c=9.952 alpha=84.86 beta=105.96 gamma=90.00
Fractional coordinates of all 11 atoms:
Tm 0.154 0.195 0.307
Tm 0.340 0.126 0.680
Tm 0.422 0.599 0.844
Tm 0.660 0.874 0.320
Tm 0.846 0.805 0.693
Tm 0.578 0.401 0.156
Tm 0.045 0.734 0.090
Tm 0.955 0.266 0.910
Cd 0.500 0.000 0.000
Tb 0.756 0.332 0.512
Tb 0.244 0.668 0.488

Summary:
size of the total moment	0.00	μB/atom
symmetry	C2/m
crystal system	monoclinic
VASP energy	-0.154	Ha/atom
DFT formation energy	-0.013	eV/atom

---

Entry 6:
TbTm6Cd | PBE | optimized geometry

Unit cell a=9.129 b=8.423 c=6.211 alpha=47.31 beta=42.69 gamma=57.15
Fractional coordinates of all 8 atoms:
Tm 0.041 0.451 0.749
Tm 0.549 0.242 0.168
Tm 0.241 0.041 0.266
Tm 0.759 0.959 0.734
Tm 0.451 0.758 0.832
Tm 0.959 0.549 0.251
Tb 0.500 0.500 0.500
Cd 0.000 0.000 0.000

Summary:
size of the total moment	0.00	μB/atom
symmetry	R-3
crystal system	trigonal
VASP energy	-0.146	Ha/atom
DFT formation energy	0.063	eV/atom

---

Entry 7:
Tb3TmCd | PBE | optimized geometry

Unit cell a=3.514 b=8.301 c=10.964 alpha=107.33 beta=99.22 gamma=90.00
Fractional coordinates of all 10 atoms:
Tm 0.730 0.817 0.460
Tm 0.270 0.183 0.540
Tb 0.379 0.950 0.757
Tb 0.987 0.770 0.973
Tb 0.013 0.230 0.027
Tb 0.621 0.050 0.243
Tb 0.176 0.442 0.352
Tb 0.824 0.558 0.648
Cd 0.577 0.598 0.154
Cd 0.423 0.402 0.846

Summary:
size of the total moment	0.00	μB/atom
energy relative to the lowest polymorph listed for this composition	0.0	meV/atom
symmetry	C2/m
crystal system	monoclinic
VASP energy	-0.143	Ha/atom
DFT formation energy	-0.024	eV/atom

---

Entry 8:
TbTm4Cd3 | PBE | optimized geometry

Unit cell a=5.278 b=5.278 c=9.421 alpha=73.73 beta=73.73 gamma=60.00
Each line ends with the local moment (μB).
Fractional coordinates of all 8 atoms:
Tm 0.130 0.130 0.611  0.02
Tm 0.613 0.613 0.160  0.09
Tm 0.870 0.870 0.389  0.02
Tm 0.387 0.387 0.840  0.09
Cd 0.259 0.259 0.222  0.00
Cd 0.500 0.500 0.500  0.00
Cd 0.741 0.741 0.778  0.00
Tb 0.000 0.000 0.000  0.16

Summary:
size of the total moment	0.06	μB/atom
symmetry	R-3m
crystal system	trigonal
VASP energy	-0.122	Ha/atom
DFT formation energy	-0.157	eV/atom

---

Entry 9:
TbYTmCd | PBE | optimized geometry

Unit cell a=5.433 b=5.433 c=5.433 alpha=60.00 beta=60.00 gamma=60.00
Fractional coordinates of all 4 atoms:
Y 0.750 0.750 0.750
Tb 0.250 0.250 0.250
Tm 0.500 0.500 0.500
Cd 0.000 0.000 0.000

Summary:
size of the total moment	0.00	μB/atom
energy relative to the lowest polymorph listed for this composition	117.7	meV/atom
symmetry	F-43m
crystal system	cubic
VASP energy	-0.153	Ha/atom
DFT formation energy	-0.034	eV/atom

---

Entry 10:
TbYTmCd | PBE | optimized geometry

Unit cell a=3.574 b=3.574 c=9.031 alpha=90.00 beta=90.00 gamma=90.00
Fractional coordinates of all 4 atoms:
Y 0.500 0.500 0.797
Tb 0.000 0.000 0.075
Tm 0.500 0.500 0.345
Cd 0.000 0.000 0.567

Summary:
size of the total moment	0.00	μB/atom
energy relative to the lowest polymorph listed for this composition	0.0	meV/atom
symmetry	P4mm
crystal system	tetragonal
VASP energy	-0.157	Ha/atom
DFT formation energy	-0.152	eV/atom

---

Entry 11:
Tb2VCd | PBE | optimized geometry

Unit cell a=3.274 b=3.274 c=11.286 alpha=81.66 beta=81.66 gamma=60.00
Each line ends with the local moment (μB).
Fractional coordinates of all 4 atoms:
Tb 0.915 0.915 0.255  0.09
Tb 0.085 0.085 0.745  0.09
Cd 0.500 0.500 0.500  0.02
V 0.000 0.000 0.000  2.52

Summary:
size of the total moment	0.80	μB/atom
energy relative to the lowest polymorph listed for this composition	532.5	meV/atom
symmetry	R-3m
crystal system	trigonal
VASP energy	-0.157	Ha/atom
DFT formation energy	0.553	eV/atom

---

Entry 12:
Tb2VCd | PBE | optimized geometry

Unit cell a=3.631 b=3.631 c=7.576 alpha=90.00 beta=90.00 gamma=90.00
Each line ends with the local moment (μB).
Fractional coordinates of all 4 atoms:
Cd 0.500 0.500 0.500  0.00
Tb 0.000 0.000 0.771  0.15
Tb 0.000 0.000 0.229  0.15
V 0.500 0.500 0.000  2.29

Summary:
size of the total moment	0.77	μB/atom
energy relative to the lowest polymorph listed for this composition	0.0	meV/atom
symmetry	P4/mmm
crystal system	tetragonal
VASP energy	-0.177	Ha/atom
DFT formation energy	0.020	eV/atom

---

Entry 13:
Tb4YCd5 | PBE | optimized geometry

Unit cell a=3.756 b=3.756 c=18.814 alpha=90.00 beta=90.00 gamma=90.00
Fractional coordinates of all 10 atoms:
Cd 0.500 0.500 0.300
Cd 0.500 0.500 0.500
Cd 0.500 0.500 0.900
Cd 0.500 0.500 0.100
Cd 0.500 0.500 0.700
Tb 0.000 0.000 0.200
Tb 0.000 0.000 0.600
Tb 0.000 0.000 0.400
Tb 0.000 0.000 0.800
Y 0.000 0.000 0.000

Summary:
size of the total moment	0.03	μB/atom
symmetry	P4/mmm
crystal system	tetragonal
VASP energy	-0.121	Ha/atom
DFT formation energy	-0.325	eV/atom

---

Entry 14:
Tb7Y3Cd | PBE | optimized geometry

Unit cell a=8.560 b=6.973 c=6.973 alpha=120.00 beta=90.00 gamma=90.00
Fractional coordinates of all 11 atoms:
Tb 0.446 0.830 0.170
Tb 0.446 0.830 0.660
Tb 0.121 0.665 0.832
Tb 0.121 0.168 0.335
Tb 0.115 0.667 0.333
Tb 0.446 0.340 0.170
Tb 0.121 0.168 0.832
Cd 0.450 0.333 0.667
Y 0.783 0.998 0.499
Y 0.783 0.501 0.002
Y 0.783 0.501 0.499

Summary:
size of the total moment	0.00	μB/atom
symmetry	P3m1
crystal system	trigonal
VASP energy	-0.170	Ha/atom
DFT formation energy	0.162	eV/atom

---

Entry 15:
TbY2Cd | PBE | optimized geometry

Unit cell a=5.460 b=5.460 c=5.460 alpha=60.00 beta=60.00 gamma=60.00
Each line ends with the local moment (μB).
Fractional coordinates of all 4 atoms:
Y 0.750 0.750 0.750  0.04
Y 0.250 0.250 0.250  0.04
Tb 0.000 0.000 0.000  0.07
Cd 0.500 0.500 0.500  0.00

Summary:
size of the total moment	0.06	μB/atom
energy relative to the lowest polymorph listed for this composition	140.6	meV/atom
symmetry	Fm-3m
crystal system	cubic
VASP energy	-0.170	Ha/atom
DFT formation energy	-0.017	eV/atom

---

Entry 16:
TbY2Cd | PBE | optimized geometry

Unit cell a=4.849 b=4.878 c=4.878 alpha=90.00 beta=90.00 gamma=90.00
Each line ends with the local moment (μB).
Fractional coordinates of all 4 atoms:
Tb 0.500 0.500 0.500  0.15
Cd 0.500 0.000 0.000  0.00
Y 0.000 0.000 0.500  0.12
Y 0.000 0.500 0.000  0.12

Summary:
size of the total moment	0.15	μB/atom
energy relative to the lowest polymorph listed for this composition	61.1	meV/atom
symmetry	P4/mmm
crystal system	tetragonal
VASP energy	-0.173	Ha/atom
DFT formation energy	-0.096	eV/atom

---

Entry 17:
Tb8Y4Cd | PBE | optimized geometry

Unit cell a=6.212 b=6.212 c=14.254 alpha=96.97 beta=96.97 gamma=48.13
Fractional coordinates of all 13 atoms:
Tb 0.609 0.095 0.747
Tb 0.236 0.722 0.892
Tb 0.795 0.281 0.042
Tb 0.988 0.473 0.588
Tb 0.044 0.530 0.346
Tb 0.422 0.908 0.186
Tb 0.297 0.782 0.663
Tb 0.735 0.221 0.271
Y 0.672 0.158 0.507
Y 0.921 0.407 0.825
Y 0.110 0.596 0.109
Y 0.360 0.846 0.427
Cd 0.516 0.002 0.967

Summary:
size of the total moment	0.00	μB/atom
symmetry	C2/m
crystal system	monoclinic
VASP energy	-0.181	Ha/atom
DFT formation energy	-0.004	eV/atom

---

Entry 18:
Tb3Y3Cd | PBE | optimized geometry

Unit cell a=5.549 b=9.418 c=9.421 alpha=120.03 beta=90.00 gamma=90.00
Fractional coordinates of all 14 atoms:
Y 0.750 0.893 0.521
Y 0.250 0.521 0.628
Y 0.750 0.628 0.107
Y 0.750 0.479 0.372
Y 0.250 0.107 0.479
Y 0.250 0.372 0.893
Tb 0.250 0.243 0.179
Tb 0.250 0.936 0.757
Tb 0.750 0.064 0.243
Tb 0.250 0.820 0.063
Tb 0.750 0.757 0.821
Tb 0.750 0.180 0.937
Cd 0.250 0.667 0.333
Cd 0.750 0.333 0.667

Summary:
size of the total moment	0.00	μB/atom
symmetry	P6_3/m
crystal system	hexagonal
VASP energy	-0.181	Ha/atom
DFT formation energy	-0.038	eV/atom

---

Entry 19:
Tb4YCd3 | PBE | optimized geometry

Unit cell a=5.349 b=5.349 c=9.560 alpha=73.75 beta=73.75 gamma=60.00
Fractional coordinates of all 8 atoms:
Tb 0.130 0.130 0.610
Tb 0.870 0.870 0.390
Tb 0.614 0.614 0.158
Tb 0.386 0.386 0.842
Cd 0.500 0.500 0.500
Cd 0.260 0.260 0.219
Cd 0.740 0.740 0.781
Y 0.000 0.000 0.000

Summary:
size of the total moment	0.00	μB/atom
symmetry	R-3m
crystal system	trigonal
VASP energy	-0.134	Ha/atom
DFT formation energy	-0.173	eV/atom

---

Entry 20:
Tb5Y4Cd | PBE | optimized geometry

Unit cell a=5.774 b=8.030 c=8.030 alpha=82.57 beta=68.93 gamma=68.93
Fractional coordinates of all 10 atoms:
Y 0.463 0.319 0.681
Y 0.144 0.319 0.319
Y 0.463 0.681 0.319
Y 0.782 0.681 0.681
Tb 0.137 0.000 0.631
Tb 0.768 0.000 0.369
Tb 0.663 0.000 0.000
Tb 0.137 0.631 0.000
Tb 0.768 0.369 0.000
Cd 0.185 0.000 0.000

Summary:
size of the total moment	0.00	μB/atom
energy relative to the lowest polymorph listed for this composition	176.0	meV/atom
symmetry	I4mm
crystal system	tetragonal
VASP energy	-0.179	Ha/atom
DFT formation energy	0.130	eV/atom